(1)
# Ac4WN5 (PBE, relaxed)
data_Ac4WN5
_chemical_formula_sum 'Ac8 W2 N10'
_space_group_name_H-M_alt 'I 4'
_space_group_IT_number 79
_cell_length_a 8.184
_cell_length_b 8.184
_cell_length_c 5.574
_cell_angle_alpha 90.00
_cell_angle_beta 90.00
_cell_angle_gamma 90.00
loop_
_space_group_symop_operation_xyz
'x,y,z'
'-y,x,z'
'-x,-y,z'
'y,-x,z'
'x+1/2,y+1/2,z+1/2'
'-y+1/2,x+1/2,z+1/2'
'-x+1/2,-y+1/2,z+1/2'
'y+1/2,-x+1/2,z+1/2'
loop_
_atom_site_label
_atom_site_type_symbol
_atom_site_fract_x
_atom_site_fract_y
_atom_site_fract_z
Ac1 Ac 0.112 0.306 0.000
W1 W 0.000 0.000 0.431
N1 N 0.000 0.000 0.098
N2 N 0.084 0.240 0.495
# E_tot: -7.981 eV per atom
# raw formation energy: -848 kJ/mol of formula units
# N(E_F): 6.3 states/eV/cell


(2)
# Ac3W5N12 (PBE, relaxed)
data_Ac3W5N12
_chemical_formula_sum 'Ac24 W40 N96'
_space_group_name_H-M_alt 'I a -3 d'
_space_group_IT_number 230
_space_group_name_Hall '-I 4bd 2c 3'
_cell_length_a 13.333
_cell_length_b 13.333
_cell_length_c 13.333
_cell_angle_alpha 90.00
_cell_angle_beta 90.00
_cell_angle_gamma 90.00
loop_
_atom_site_label
_atom_site_type_symbol
_atom_site_fract_x
_atom_site_fract_y
_atom_site_fract_z
Ac1 Ac 0.000 0.250 0.125
W1 W 0.000 0.000 0.000
W2 W 0.000 0.250 0.375
N1 N 0.036 0.040 0.646
# E_tot: -9.615 eV per atom
# raw formation energy: -1476 kJ/mol of formula units
# N(E_F): 57.6 states/eV/cell


(3)
# AcW2N8 (PBE, relaxed)
data_AcW2N8
_chemical_formula_sum 'Ac1 W2 N8'
_space_group_name_H-M_alt 'P 4/m m m'
_space_group_IT_number 123
_space_group_name_Hall '-P 4 2'
_cell_length_a 4.686
_cell_length_b 4.686
_cell_length_c 6.683
_cell_angle_alpha 90.00
_cell_angle_beta 90.00
_cell_angle_gamma 90.00
loop_
_atom_site_label
_atom_site_type_symbol
_atom_site_fract_x
_atom_site_fract_y
_atom_site_fract_z
Ac1 Ac 0.000 0.000 0.000
W1 W 0.000 0.500 0.500
N1 N 0.253 0.253 0.306
# E_tot: -7.908 eV per atom
# raw formation energy: 929 kJ/mol of formula units
# N(E_F): 3.9 states/eV/cell


(4)
# Ac3WN6 (PBE, relaxed)
data_Ac3WN6
_chemical_formula_sum 'Ac6 W2 N12'
_space_group_name_H-M_alt 'P 1 21/c 1'
_space_group_IT_number 14
_cell_length_a 6.118
_cell_length_b 6.289
_cell_length_c 10.592
_cell_angle_alpha 90.00
_cell_angle_beta 124.76
_cell_angle_gamma 90.00
loop_
_space_group_symop_operation_xyz
'x,y,z'
'-x,-y,-z'
'-x,y+1/2,-z+1/2'
'x,-y+1/2,z+1/2'
loop_
_atom_site_label
_atom_site_type_symbol
_atom_site_fract_x
_atom_site_fract_y
_atom_site_fract_z
Ac1 Ac 0.000 0.000 0.000
Ac2 Ac 0.262 0.046 0.746
W1 W 0.500 0.000 0.500
N1 N 0.176 0.050 0.281
N2 N 0.282 0.682 0.049
N3 N 0.391 0.239 0.067
# E_tot: -8.059 eV per atom
# raw formation energy: -517 kJ/mol of formula units
# N(E_F): 15.9 states/eV/cell


(5)
# Ac3WN4 (PBE, relaxed)
data_Ac3WN4
_chemical_formula_sum 'Ac6 W2 N8'
_space_group_name_H-M_alt 'P m n 21'
_space_group_IT_number 31
_cell_length_a 7.897
_cell_length_b 7.372
_cell_length_c 5.884
_cell_angle_alpha 90.00
_cell_angle_beta 90.00
_cell_angle_gamma 90.00
loop_
_space_group_symop_operation_xyz
'x,y,z'
'-x+1/2,-y,z+1/2'
'-x,y,z'
'x+1/2,-y,z+1/2'
loop_
_atom_site_label
_atom_site_type_symbol
_atom_site_fract_x
_atom_site_fract_y
_atom_site_fract_z
Ac1 Ac 0.000 0.149 0.000
Ac2 Ac 0.248 0.646 0.004
W1 W 0.000 0.835 0.464
N1 N 0.000 0.091 0.535
N2 N 0.000 0.833 0.142
N3 N 0.203 0.710 0.546
# E_tot: -8.219 eV per atom
# raw formation energy: -692 kJ/mol of formula units
# N(E_F): 8.6 states/eV/cell


(6)
# AcWN6 (PBE, relaxed)
data_AcWN6
_chemical_formula_sum 'Ac3 W3 N18'
_space_group_name_H-M_alt 'R -3 m'
_space_group_IT_number 166
_space_group_name_Hall '-R 3 2"'
_cell_length_a 7.2371
_cell_length_b 7.2371
_cell_length_c 7.1469
_cell_angle_alpha 90.00
_cell_angle_beta 90.00
_cell_angle_gamma 120.00
loop_
_atom_site_label
_atom_site_type_symbol
_atom_site_fract_x
_atom_site_fract_y
_atom_site_fract_z
Ac1 Ac 0.0000 0.0000 0.0000
W1 W 0.0000 0.0000 0.5000
N1 N 0.0755 0.5377 0.3287
# E_tot: -7.121 eV per atom
# raw formation energy: 970 kJ/mol of formula units
# N(E_F): 17.6 states/eV/cell


(7)
# Ac2W3N8 (PBE, relaxed)
data_Ac2W3N8
_chemical_formula_sum 'Ac4 W6 N16'
_space_group_name_H-M_alt 'C 1 2/m 1'
_space_group_IT_number 12
_cell_length_a 12.255
_cell_length_b 6.429
_cell_length_c 5.246
_cell_angle_alpha 90.00
_cell_angle_beta 110.60
_cell_angle_gamma 90.00
loop_
_space_group_symop_operation_xyz
'x,y,z'
'-x,-y,-z'
'-x,y,-z'
'x,-y,z'
'x+1/2,y+1/2,z'
'-x+1/2,-y+1/2,-z'
'-x+1/2,y+1/2,-z'
'x+1/2,-y+1/2,z'
loop_
_atom_site_label
_atom_site_type_symbol
_atom_site_fract_x
_atom_site_fract_y
_atom_site_fract_z
Ac1 Ac 0.228 0.000 0.166
W1 W 0.000 0.228 0.500
W2 W 0.000 0.500 0.000
N1 N 0.097 0.500 0.401
N2 N 0.098 0.286 0.888
N3 N 0.099 0.000 0.461
# E_tot: -9.384 eV per atom
# raw formation energy: -802 kJ/mol of formula units


(8)
# Ac2WN5 (PBE, relaxed)
data_Ac2WN5
_chemical_formula_sum 'Ac2 W1 N5'
_space_group_name_H-M_alt 'P 4/m m m'
_space_group_IT_number 123
_space_group_name_Hall '-P 4 2'
_cell_length_a 5.725
_cell_length_b 5.725
_cell_length_c 3.942
_cell_angle_alpha 90.00
_cell_angle_beta 90.00
_cell_angle_gamma 90.00
loop_
_atom_site_label
_atom_site_type_symbol
_atom_site_fract_x
_atom_site_fract_y
_atom_site_fract_z
Ac1 Ac 0.000 0.500 0.000
W1 W 0.000 0.000 0.500
N1 N 0.000 0.000 0.000
N2 N 0.249 0.249 0.500
# E_tot: -8.166 eV per atom
# raw formation energy: -245 kJ/mol of formula units
# N(E_F): 6.8 states/eV/cell


(9)
# Ac3W2N6 (PBE, relaxed)
data_Ac3W2N6
_chemical_formula_sum 'Ac6 W4 N12'
_space_group_name_H-M_alt 'I 4/m m m'
_space_group_IT_number 139
_space_group_name_Hall '-I 4 2'
_cell_length_a 4.074
_cell_length_b 4.074
_cell_length_c 20.903
_cell_angle_alpha 90.00
_cell_angle_beta 90.00
_cell_angle_gamma 90.00
loop_
_atom_site_label
_atom_site_type_symbol
_atom_site_fract_x
_atom_site_fract_y
_atom_site_fract_z
Ac1 Ac 0.000 0.000 0.000
Ac2 Ac 0.000 0.000 0.181
W1 W 0.000 0.000 0.401
N1 N 0.000 0.000 0.307
N2 N 0.000 0.500 0.089
# E_tot: -9.043 eV per atom
# raw formation energy: -1089 kJ/mol of formula units
# N(E_F): 8.3 states/eV/cell


(10)
# Ac5WN8 (PBE, relaxed)
data_Ac5WN8
_chemical_formula_sum 'Ac10 W2 N16'
_space_group_name_H-M_alt 'I -4'
_space_group_IT_number 82
_cell_length_a 7.405
_cell_length_b 7.405
_cell_length_c 10.469
_cell_angle_alpha 90.00
_cell_angle_beta 90.00
_cell_angle_gamma 90.00
loop_
_space_group_symop_operation_xyz
'x,y,z'
'y,-x,-z'
'-x,-y,z'
'-y,x,-z'
'x+1/2,y+1/2,z+1/2'
'y+1/2,-x+1/2,-z+1/2'
'-x+1/2,-y+1/2,z+1/2'
'-y+1/2,x+1/2,-z+1/2'
loop_
_atom_site_label
_atom_site_type_symbol
_atom_site_fract_x
_atom_site_fract_y
_atom_site_fract_z
Ac1 Ac 0.000 0.000 0.000
Ac2 Ac 0.004 0.252 0.626
W1 W 0.000 0.500 0.250
N1 N 0.001 0.290 0.355
N2 N 0.002 0.279 0.860
# E_tot: -7.792 eV per atom
# raw formation energy: -867 kJ/mol of formula units
# N(E_F): 22.0 states/eV/cell


(11)
# AcZn2WN4 (PBE, relaxed)
data_AcZn2WN4
_chemical_formula_sum 'Ac2 Zn4 W2 N8'
_space_group_name_H-M_alt 'I 2 2 2'
_space_group_IT_number 23
_cell_length_a 5.415
_cell_length_b 5.945
_cell_length_c 7.190
_cell_angle_alpha 90.00
_cell_angle_beta 90.00
_cell_angle_gamma 90.00
loop_
_space_group_symop_operation_xyz
'x,y,z'
'-x,-y,z'
'x,-y,-z'
'-x,y,-z'
'x+1/2,y+1/2,z+1/2'
'-x+1/2,-y+1/2,z+1/2'
'x+1/2,-y+1/2,-z+1/2'
'-x+1/2,y+1/2,-z+1/2'
loop_
_atom_site_label
_atom_site_type_symbol
_atom_site_fract_x
_atom_site_fract_y
_atom_site_fract_z
Ac1 Ac 0.000 0.000 0.000
Zn1 Zn 0.000 0.500 0.261
W1 W 0.000 0.000 0.500
N1 N 0.202 0.178 0.342
# E_tot: -7.072 eV per atom
# raw formation energy: -354 kJ/mol of formula units
# N(E_F): 3.8 states/eV/cell


(12)
# Ac2ZrWN5 (PBE, relaxed)
data_Ac2ZrWN5
_chemical_formula_sum 'Ac8 Zr4 W4 N20'
_space_group_name_H-M_alt 'C m c 21'
_space_group_IT_number 36
_cell_length_a 3.549
_cell_length_b 14.538
_cell_length_c 11.142
_cell_angle_alpha 90.00
_cell_angle_beta 90.00
_cell_angle_gamma 90.00
loop_
_space_group_symop_operation_xyz
'x,y,z'
'-x,-y,z+1/2'
'-x,y,z'
'x,-y,z+1/2'
'x+1/2,y+1/2,z'
'-x+1/2,-y+1/2,z+1/2'
'-x+1/2,y+1/2,z'
'x+1/2,-y+1/2,z+1/2'
loop_
_atom_site_label
_atom_site_type_symbol
_atom_site_fract_x
_atom_site_fract_y
_atom_site_fract_z
Ac1 Ac 0.000 0.112 0.000
Ac2 Ac 0.000 0.146 0.642
Zr1 Zr 0.000 0.211 0.354
W1 W 0.000 0.455 0.770
N1 N 0.000 0.041 0.346
N2 N 0.000 0.288 0.981
N3 N 0.000 0.328 0.719
N4 N 0.000 0.353 0.330
N5 N 0.000 0.494 0.118
# E_tot: -9.015 eV per atom
# raw formation energy: -945 kJ/mol of formula units
# N(E_F): 12.8 states/eV/cell